No. 1
The following is a DFT calculation (PBE) of crystalline ZnTc2Rh at its relaxed geometry.

Results
- V (Å³ per atom) = 14.3
- electronic total energy (eV/cell) = -29.605
- ρ (g/cm³) = 10.6
- formation enthalpy at 0 K (meV per atom) = -62

Cell: 2.7869 2.7869 7.3637 Å, 90.00 90.00 90.00°
Last column: nearest neighbours and their distance in Å.
Fractional coordinates of all 4 atoms:
Zn  0.0000  0.0000  0.0000  4 Rh 2.66, 4 Tc 2.75, 4 Zn 2.79
Tc  0.0000  0.0000  0.4947  8 Tc 2.67-2.79, 4 Rh 2.71
Tc  0.5000  0.5000  0.7399  8 Tc 2.67-2.79, 4 Zn 2.75
Rh  0.5000  0.5000  0.2420  4 Zn 2.66, 4 Tc 2.71, 4 Rh 2.79

---

No. 2
The following is a DFT calculation (PBE) of crystalline ZnTc2Rh at its relaxed geometry.

Results
- V (Å³ per atom) = 14.3
- electronic total energy (eV/cell) = -58.742
- ρ (g/cm³) = 10.6
- formation enthalpy at 0 K (meV per atom) = -3

Cell: 9.2885 2.7472 4.5648 Å, 90.00 100.25 90.00°
Last column: nearest neighbours and their distance in Å.
Fractional coordinates of all 8 atoms:
Zn  0.0000  0.0000  0.0000  4 Rh 2.66, 6 Tc 2.71-2.81, 2 Zn 2.75
Zn  0.5000  0.5000  0.0000  4 Rh 2.66, 6 Tc 2.71-2.81, 2 Zn 2.75
Tc  0.2436  0.0000  0.7483  6 Tc 2.66-2.75, 3 Zn 2.71-2.81, 3 Rh 2.72-2.81
Tc  0.2564  0.5000  0.2517  6 Tc 2.66-2.75, 3 Zn 2.71-2.81, 3 Rh 2.72-2.81
Tc  0.7436  0.5000  0.7483  6 Tc 2.66-2.75, 3 Zn 2.71-2.81, 3 Rh 2.72-2.81
Tc  0.7564  0.0000  0.2517  6 Tc 2.66-2.75, 3 Zn 2.71-2.81, 3 Rh 2.72-2.81
Rh  0.0000  0.5000  0.5000  4 Zn 2.66, 6 Tc 2.72-2.81, 2 Rh 2.75
Rh  0.5000  0.0000  0.5000  4 Zn 2.66, 6 Tc 2.72-2.81, 2 Rh 2.75

---

No. 3
The following is a DFT calculation (PBE) of crystalline ZrZnTcRh at its relaxed geometry.

Results
- V (Å³ per atom) = 16.0
- electronic total energy (eV/cell) = -114.689
- ρ (g/cm³) = 9.3
- formation enthalpy at 0 K (meV per atom) = -283

Cell: 6.3451 6.3451 6.3451 Å, 90.00 90.00 90.00°
Last column: nearest neighbours and their distance in Å.
Fractional coordinates of all 16 atoms:
Zr  0.0000  0.0000  0.0000  4 Tc 2.75, 4 Rh 2.75
Zr  0.0000  0.5000  0.5000  4 Tc 2.75, 4 Rh 2.75
Zr  0.5000  0.0000  0.5000  4 Tc 2.75, 4 Rh 2.75
Zr  0.5000  0.5000  0.0000  4 Tc 2.75, 4 Rh 2.75
Zn  0.0000  0.0000  0.5000  4 Rh 2.75, 4 Tc 2.75
Zn  0.0000  0.5000  0.0000  4 Rh 2.75, 4 Tc 2.75
Zn  0.5000  0.0000  0.0000  4 Rh 2.75, 4 Tc 2.75
Zn  0.5000  0.5000  0.5000  4 Rh 2.75, 4 Tc 2.75
Tc  0.2500  0.2500  0.2500  4 Zn 2.75, 4 Zr 2.75
Tc  0.2500  0.7500  0.7500  4 Zn 2.75, 4 Zr 2.75
Tc  0.7500  0.2500  0.7500  4 Zn 2.75, 4 Zr 2.75
Tc  0.7500  0.7500  0.2500  4 Zn 2.75, 4 Zr 2.75
Rh  0.2500  0.2500  0.7500  4 Zr 2.75, 4 Zn 2.75
Rh  0.2500  0.7500  0.2500  4 Zr 2.75, 4 Zn 2.75
Rh  0.7500  0.2500  0.2500  4 Zr 2.75, 4 Zn 2.75
Rh  0.7500  0.7500  0.7500  4 Zr 2.75, 4 Zn 2.75